Computed, not measured: a crystal of TeOsRh2 relaxed with PBEsol at the SCAN level of DFT.

Results
E_form (uncorrected) ... 384 meV/atom
Calculated density ... 14.222 g/cm3

a = 3.747 Å, b = 4.069 Å, c = 8.020 Å
α = 90.00°, β = 90.00°, γ = 90.00°
Space group Immm (No. 71)
Inequivalent atoms, fractional coordinates:
Te  0.000  0.000  0.000 (multiplicity 2)
Os  0.000  0.000  0.500 (multiplicity 2)
Rh  0.000  0.500  0.264 (multiplicity 4)

=====

Computed, not measured: a crystal of TeOs2Rh relaxed with PBEsol at the SCAN level of DFT.

Results
E_form (uncorrected) ... 599 meV/atom
Calculated density ... 16.598 g/cm3

a = 4.005 Å, b = 4.005 Å, c = 7.622 Å
α = 90.00°, β = 90.00°, γ = 90.00°
Space group I-4m2 (No. 119)
Inequivalent atoms, fractional coordinates:
Te  0.000  0.000  0.000 (multiplicity 2)
Os  0.000  0.000  0.500 (multiplicity 2)
Os  0.000  0.500  0.250 (multiplicity 2)
Rh  0.000  0.500  0.750 (multiplicity 2)

=====

Computed, not measured: a crystal of Ti2OsRh relaxed with PBEsol at the SCAN level of DFT.

Results
Calculated formation energy ... -0.883 eV per atom
Calculated density ... 11.245 g/cm3

a = 6.124 Å, b = 6.124 Å, c = 6.124 Å
α = 90.00°, β = 90.00°, γ = 90.00°
Space group Fm-3m (No. 225)
Inequivalent atoms, fractional coordinates:
Ti  0.250  0.250  0.250 (multiplicity 8)
Os  0.000  0.000  0.000 (multiplicity 4)
Rh  0.000  0.000  0.500 (multiplicity 4)

=====

Computed, not measured: a crystal of TiOsRh2 relaxed with PBEsol at the SCAN level of DFT.

Results
Calculated formation energy ... -0.033 eV per atom
Calculated density ... 12.909 g/cm3

a = 6.113 Å, b = 6.113 Å, c = 6.113 Å
α = 90.00°, β = 90.00°, γ = 90.00°
Space group Fm-3m (No. 225)
Inequivalent atoms, fractional coordinates:
Ti  0.000  0.000  0.000 (multiplicity 4)
Os  0.000  0.000  0.500 (multiplicity 4)
Rh  0.250  0.250  0.250 (multiplicity 8)

=====

Computed, not measured: a crystal of TlOsRh relaxed with PBEsol at the SCAN level of DFT.

Results
Calculated formation energy ... 0.529 eV per atom
Calculated density ... 16.857 g/cm3

a = 2.873 Å, b = 2.873 Å, c = 11.874 Å
α = 90.00°, β = 90.00°, γ = 90.00°
Space group I4mm (No. 107)
Inequivalent atoms, fractional coordinates:
Tl  0.000  0.000  0.000 (multiplicity 2)
Os  0.000  0.000  0.684 (multiplicity 2)
Rh  0.000  0.000  0.318 (multiplicity 2)

=====

Computed, not measured: a crystal of OsRh2W relaxed with PBEsol at the SCAN level of DFT.

Results
Energy above the lowest structure with this stoichiometry ... 0 kJ/mol of formula units
Calculated formation energy ... -0.170 eV per atom
Calculated density ... 17.181 g/cm3

a = 3.793 Å, b = 3.793 Å, c = 3.896 Å
α = 90.00°, β = 90.00°, γ = 90.00°
Space group P4/mmm (No. 123)
Inequivalent atoms, fractional coordinates:
Os  0.000  0.000  0.000 (multiplicity 1)
Rh  0.000  0.500  0.500 (multiplicity 2)
W  0.500  0.500  0.000 (multiplicity 1)

=====

Computed, not measured: a crystal of OsRh2W relaxed with PBEsol at the SCAN level of DFT.

Results
Energy above the lowest structure with this stoichiometry ... 9 kJ/mol of formula units
Calculated formation energy ... -0.148 eV per atom
Calculated density ... 17.189 g/cm3

a = 2.708 Å, b = 4.343 Å, c = 4.762 Å
α = 90.00°, β = 90.00°, γ = 90.00°
Space group Pmm2 (No. 25)
Inequivalent atoms, fractional coordinates:
Os  0.000  0.000  0.000 (multiplicity 1)
Rh  0.500  0.000  0.508 (multiplicity 1)
Rh  0.500  0.500  0.836 (multiplicity 1)
W  0.000  0.500  0.328 (multiplicity 1)

=====

Computed, not measured: a crystal of OsRh2W relaxed with PBEsol at the SCAN level of DFT.

Results
Energy above the lowest structure with this stoichiometry ... 155 kJ/mol of formula units
Calculated formation energy ... 0.232 eV per atom
Calculated density ... 16.777 g/cm3

a = 6.123 Å, b = 6.123 Å, c = 6.123 Å
α = 90.00°, β = 90.00°, γ = 90.00°
Space group F-43m (No. 216)
Inequivalent atoms, fractional coordinates:
Os  0.000  0.000  0.000 (multiplicity 4)
Rh  0.000  0.000  0.500 (multiplicity 4)
Rh  0.250  0.250  0.250 (multiplicity 4)
W  0.250  0.250  0.750 (multiplicity 4)

=====

Computed, not measured: a crystal of OsRh2W relaxed with PBEsol at the SCAN level of DFT.

Results
Energy above the lowest structure with this stoichiometry ... 188 kJ/mol of formula units
Calculated formation energy ... 0.318 eV per atom
Calculated density ... 16.694 g/cm3

a = 3.277 Å, b = 3.277 Å, c = 5.372 Å
α = 90.00°, β = 90.00°, γ = 90.00°
Space group P4/mmm (No. 123)
Inequivalent atoms, fractional coordinates:
Os  0.000  0.000  0.000 (multiplicity 1)
Rh  0.500  0.500  0.250 (multiplicity 2)
W  0.000  0.000  0.500 (multiplicity 1)

=====

Computed, not measured: a crystal of Os2RhW relaxed with PBEsol at the SCAN level of DFT.

Results
Energy above the lowest structure with this stoichiometry ... 194 kJ/mol of formula units
Calculated formation energy ... 0.405 eV per atom
Calculated density ... 19.038 g/cm3

a = 3.255 Å, b = 3.255 Å, c = 5.492 Å
α = 90.00°, β = 90.00°, γ = 90.00°
Space group P4mm (No. 99)
Inequivalent atoms, fractional coordinates:
Os  0.000  0.000  0.000 (multiplicity 1)
Os  0.500  0.500  0.250 (multiplicity 1)
Rh  0.000  0.000  0.493 (multiplicity 1)
W  0.500  0.500  0.737 (multiplicity 1)

=====

Computed, not measured: a crystal of Os2RhW relaxed with PBEsol at the SCAN level of DFT.

Results
Energy above the lowest structure with this stoichiometry ... 53 kJ/mol of formula units
Calculated formation energy ... 0.038 eV per atom
Calculated density ... 19.421 g/cm3

a = 8.981 Å, b = 2.724 Å, c = 4.739 Å
α = 90.00°, β = 100.24°, γ = 90.00°
Space group C2/m (No. 12)
Inequivalent atoms, fractional coordinates:
Os  0.249  0.000  0.258 (multiplicity 4)
Rh  0.000  0.000  0.500 (multiplicity 2)
W  0.000  0.500  0.000 (multiplicity 2)

=====

Computed, not measured: a crystal of Os2RhW relaxed with PBEsol at the SCAN level of DFT.

Results
Energy above the lowest structure with this stoichiometry ... 18 kJ/mol of formula units
Calculated formation energy ... -0.053 eV per atom
Calculated density ... 19.501 g/cm3

a = 3.848 Å, b = 3.848 Å, c = 7.673 Å
α = 90.00°, β = 90.00°, γ = 90.00°
Space group I-4m2 (No. 119)
Inequivalent atoms, fractional coordinates:
Os  0.000  0.000  0.000 (multiplicity 2)
Os  0.000  0.500  0.250 (multiplicity 2)
Rh  0.000  0.500  0.750 (multiplicity 2)
W  0.000  0.000  0.500 (multiplicity 2)